(1)
# PBE-GGA Hf5Ga3, relaxed
data_Hf5Ga3
_chemical_formula_sum 'Hf10 Ga6'
_cell_length_a 8.0014
_cell_length_b 8.0014
_cell_length_c 5.6995
_cell_angle_alpha 90.00
_cell_angle_beta 90.00
_cell_angle_gamma 120.00
_symmetry_space_group_name_H-M 'P 63/m c m'
_symmetry_Int_Tables_number 193
_symmetry_space_group_name_Hall '-P 6c 2'
loop_
_atom_site_label
_atom_site_type_symbol
_atom_site_fract_x
_atom_site_fract_y
_atom_site_fract_z
Hf1 Hf 0.0000 0.2415 0.2500
Hf2 Hf 0.3333 0.6667 0.0000
Ga1 Ga 0.0000 0.3933 0.7500
# Distance to the lowest polymorph of the same formula   0 meV/atom
# DFT formation energy   -0.44 eV/atom
# Total moment   0.00 μB per cell

***

(2)
# PBE-GGA CoSbRuI2, relaxed
data_CoSbRuI2
_chemical_formula_sum 'Co1 Sb1 Ru1 I2'
_cell_length_a 5.5004
_cell_length_b 5.5004
_cell_length_c 4.9715
_cell_angle_alpha 90.00
_cell_angle_beta 90.00
_cell_angle_gamma 90.00
_symmetry_space_group_name_H-M 'P 4/m m m'
_symmetry_Int_Tables_number 123
_symmetry_space_group_name_Hall '-P 4 2'
loop_
_atom_site_label
_atom_site_type_symbol
_atom_site_fract_x
_atom_site_fract_y
_atom_site_fract_z
Co1 Co 0.0000 0.0000 0.0000
Sb1 Sb 0.5000 0.5000 0.0000
Ru1 Ru 0.5000 0.5000 0.5000
I1 I 0.0000 0.5000 0.5000
# Distance to the lowest polymorph of the same formula   0 meV/atom
# Total moment   2.59 μB per cell
# Formation energy without anion corrections   1.033 eV/atom

***

(3)
# PBE-GGA Pm2ErRh, relaxed
data_Pm2ErRh
_chemical_formula_sum 'Pm8 Er4 Rh4'
_cell_length_a 6.6791
_cell_length_b 6.3915
_cell_length_c 11.4521
_cell_angle_alpha 90.00
_cell_angle_beta 90.00
_cell_angle_gamma 90.00
_symmetry_space_group_name_H-M 'P n n a'
_symmetry_Int_Tables_number 52
_symmetry_space_group_name_Hall '-P 2a 2bc'
loop_
_atom_site_label
_atom_site_type_symbol
_atom_site_fract_x
_atom_site_fract_y
_atom_site_fract_z
Pm1 Pm 0.0905 0.2445 0.0876
Er1 Er 0.0710 0.2500 0.7500
Rh1 Rh 0.2500 0.0000 0.5898
# Distance to the lowest polymorph of the same formula   97 meV/atom
# DFT formation energy   -0.37 eV/atom
# Total moment   0.00 μB per cell

***

(4)
# PBE-GGA KLi2MgSi, relaxed
data_KLi2MgSi
_chemical_formula_sum 'K1 Li2 Mg1 Si1'
_cell_length_a 5.1533
_cell_length_b 5.1533
_cell_length_c 5.1364
_cell_angle_alpha 90.00
_cell_angle_beta 90.00
_cell_angle_gamma 90.00
_symmetry_space_group_name_H-M 'P 4/m m m'
_symmetry_Int_Tables_number 123
_symmetry_space_group_name_Hall '-P 4 2'
loop_
_atom_site_label
_atom_site_type_symbol
_atom_site_fract_x
_atom_site_fract_y
_atom_site_fract_z
K1 K 0.0000 0.0000 0.0000
Li1 Li 0.0000 0.5000 0.5000
Mg1 Mg 0.5000 0.5000 0.0000
Si1 Si 0.5000 0.5000 0.5000
# Total moment   0.00 μB per cell
# Formation energy without anion corrections   0.014 eV/atom

***

(5)
# PBE-GGA CdSbTe2N, relaxed
data_CdSbTe2N
_chemical_formula_sum 'Cd1 Sb1 Te2 N1'
_cell_length_a 5.7410
_cell_length_b 5.7410
_cell_length_c 4.1671
_cell_angle_alpha 90.00
_cell_angle_beta 90.00
_cell_angle_gamma 90.00
_symmetry_space_group_name_H-M 'P 4/m m m'
_symmetry_Int_Tables_number 123
_symmetry_space_group_name_Hall '-P 4 2'
loop_
_atom_site_label
_atom_site_type_symbol
_atom_site_fract_x
_atom_site_fract_y
_atom_site_fract_z
Cd1 Cd 0.0000 0.0000 0.0000
Sb1 Sb 0.5000 0.5000 0.5000
Te1 Te 0.0000 0.5000 0.0000
N1 N 0.0000 0.0000 0.5000
# Distance to the lowest polymorph of the same formula   314 meV/atom
# Total moment   1.84 μB per cell
# Formation energy without anion corrections   0.950 eV/atom

***

(6)
# PBE-GGA MnCdSn, relaxed
data_MnCdSn
_chemical_formula_sum 'Mn9 Cd9 Sn9'
_cell_length_a 5.7825
_cell_length_b 5.7825
_cell_length_c 20.6166
_cell_angle_alpha 90.00
_cell_angle_beta 90.00
_cell_angle_gamma 120.00
_symmetry_space_group_name_H-M 'R 3'
_symmetry_Int_Tables_number 146
_symmetry_space_group_name_Hall 'R 3'
loop_
_atom_site_label
_atom_site_type_symbol
_atom_site_fract_x
_atom_site_fract_y
_atom_site_fract_z
Mn1 Mn 0.0000 0.0000 0.0000
Mn2 Mn 0.0000 0.0000 0.1291
Mn3 Mn 0.0000 0.0000 0.4883
Cd1 Cd 0.1319 0.3402 0.3850
Sn1 Sn 0.0220 0.3372 0.9041
# DFT formation energy   0.30 eV/atom
# Total moment   30.41 μB per cell

***

(7)
# PBE-GGA ZnNi6Ge, relaxed
data_ZnNi6Ge
_chemical_formula_sum 'Zn1 Ni6 Ge1'
_cell_length_a 5.0836
_cell_length_b 5.0836
_cell_length_c 4.0875
_cell_angle_alpha 90.00
_cell_angle_beta 90.00
_cell_angle_gamma 120.00
_symmetry_space_group_name_H-M 'P -6 m 2'
_symmetry_Int_Tables_number 187
_symmetry_space_group_name_Hall 'P -6 2'
loop_
_atom_site_label
_atom_site_type_symbol
_atom_site_fract_x
_atom_site_fract_y
_atom_site_fract_z
Zn1 Zn 0.0000 0.0000 0.0000
Ni1 Ni 0.3368 0.1684 0.5000
Ni2 Ni 0.5020 0.0041 0.0000
Ge1 Ge 0.3333 0.6667 0.5000
# Distance to the lowest polymorph of the same formula   2 meV/atom
# DFT formation energy   -0.19 eV/atom
# Total moment   1.03 μB per cell

***

(8)
# PBE-GGA Li2TcTePd, relaxed
data_Li2TcTePd
_chemical_formula_sum 'Li2 Tc1 Te1 Pd1'
_cell_length_a 4.4789
_cell_length_b 4.4789
_cell_length_c 5.0992
_cell_angle_alpha 90.00
_cell_angle_beta 90.00
_cell_angle_gamma 90.00
_symmetry_space_group_name_H-M 'P 4/m m m'
_symmetry_Int_Tables_number 123
_symmetry_space_group_name_Hall '-P 4 2'
loop_
_atom_site_label
_atom_site_type_symbol
_atom_site_fract_x
_atom_site_fract_y
_atom_site_fract_z
Li1 Li 0.0000 0.5000 0.0000
Tc1 Tc 0.0000 0.0000 0.5000
Te1 Te 0.5000 0.5000 0.5000
Pd1 Pd 0.0000 0.0000 0.0000
# Total moment   3.28 μB per cell
# Formation energy without anion corrections   0.331 eV/atom

***

(9)
# PBE-GGA Pr3Bi2Rh, relaxed
data_Pr3Bi2Rh
_chemical_formula_sum 'Pr6 Bi4 Rh2'
_cell_length_a 4.4286
_cell_length_b 6.4312
_cell_length_c 13.5717
_cell_angle_alpha 90.00
_cell_angle_beta 90.00
_cell_angle_gamma 90.00
_symmetry_space_group_name_H-M 'I m m m'
_symmetry_Int_Tables_number 71
_symmetry_space_group_name_Hall '-I 2 2'
loop_
_atom_site_label
_atom_site_type_symbol
_atom_site_fract_x
_atom_site_fract_y
_atom_site_fract_z
Pr1 Pr 0.0000 0.0000 0.0000
Pr2 Pr 0.0000 0.0000 0.3555
Bi1 Bi 0.0000 0.5000 0.3238
Rh1 Rh 0.0000 0.5000 0.0000
# DFT formation energy   -0.66 eV/atom
# Total moment   0.00 μB per cell

***

(10)
# PBE-GGA Tl2ZnAu, relaxed
data_Tl2ZnAu
_chemical_formula_sum 'Tl4 Zn2 Au2'
_cell_length_a 8.7622
_cell_length_b 3.7099
_cell_length_c 6.3326
_cell_angle_alpha 90.00
_cell_angle_beta 105.09
_cell_angle_gamma 90.00
_symmetry_space_group_name_H-M 'C 1 2/m 1'
_symmetry_Int_Tables_number 12
_symmetry_space_group_name_Hall '-C 2y'
loop_
_atom_site_label
_atom_site_type_symbol
_atom_site_fract_x
_atom_site_fract_y
_atom_site_fract_z
Tl1 Tl 0.2488 0.0000 0.2484
Zn1 Zn 0.0000 0.0000 0.5000
Au1 Au 0.0000 0.5000 0.0000
# Distance to the lowest polymorph of the same formula   121 meV/atom
# DFT formation energy   0.11 eV/atom
# Total moment   0.00 μB per cell

***

(11)
# PBE-GGA PrSm3Y6Ho2, relaxed
data_PrSm3Y6Ho2
_chemical_formula_sum 'Pr2 Sm6 Y12 Ho4'
_cell_length_a 6.2204
_cell_length_b 10.7675
_cell_length_c 11.8712
_cell_angle_alpha 90.00
_cell_angle_beta 100.01
_cell_angle_gamma 90.00
_symmetry_space_group_name_H-M 'C 1 2/m 1'
_symmetry_Int_Tables_number 12
_symmetry_space_group_name_Hall '-C 2y'
loop_
_atom_site_label
_atom_site_type_symbol
_atom_site_fract_x
_atom_site_fract_y
_atom_site_fract_z
Pr1 Pr 0.0000 0.0000 0.0000
Sm1 Sm 0.0000 0.1670 0.5000
Sm2 Sm 0.0000 0.5000 0.5000
Y1 Y 0.2494 0.3329 0.7507
Y2 Y 0.2492 0.5000 0.2492
Ho1 Ho 0.0000 0.3333 0.0000
# DFT formation energy   0.02 eV/atom
# Total moment   0.00 μB per cell

***

(12)
# PBE-GGA Mg5In4Hg2, relaxed
data_Mg5In4Hg2
_chemical_formula_sum 'Mg15 In12 Hg6'
_cell_length_a 4.7742
_cell_length_b 4.7742
_cell_length_c 48.7245
_cell_angle_alpha 90.00
_cell_angle_beta 90.00
_cell_angle_gamma 120.00
_symmetry_space_group_name_H-M 'R -3 m'
_symmetry_Int_Tables_number 166
_symmetry_space_group_name_Hall '-R 3 2"'
loop_
_atom_site_label
_atom_site_type_symbol
_atom_site_fract_x
_atom_site_fract_y
_atom_site_fract_z
Mg1 Mg 0.0000 0.0000 0.0000
Mg2 Mg 0.0000 0.0000 0.1225
Mg3 Mg 0.0000 0.0000 0.3013
In1 In 0.0000 0.0000 0.0643
In2 In 0.0000 0.0000 0.1831
Hg1 Hg 0.0000 0.0000 0.3662
# Distance to the lowest polymorph of the same formula   156 meV/atom
# DFT formation energy   0.05 eV/atom
# Total moment   0.00 μB per cell

***

(13)
# PBE-GGA Li3Ce3ScSe8, relaxed
data_Li3Ce3ScSe8
_chemical_formula_sum 'Li9 Ce9 Sc3 Se24'
_cell_length_a 8.3063
_cell_length_b 8.3063
_cell_length_c 19.2765
_cell_angle_alpha 90.00
_cell_angle_beta 90.00
_cell_angle_gamma 120.00
_symmetry_space_group_name_H-M 'R -3 m'
_symmetry_Int_Tables_number 166
_symmetry_space_group_name_Hall '-R 3 2"'
loop_
_atom_site_label
_atom_site_type_symbol
_atom_site_fract_x
_atom_site_fract_y
_atom_site_fract_z
Li1 Li 0.0000 0.5000 0.0000
Ce1 Ce 0.0000 0.5000 0.5000
Sc1 Sc 0.0000 0.0000 0.5000
Se1 Se 0.0000 0.0000 0.2538
Se2 Se 0.0185 0.5092 0.2481
# Total moment   2.04 μB per cell
# Formation energy without anion corrections   -1.607 eV/atom

***

(14)
# PBE-GGA Cs3SiP2, relaxed
data_Cs3SiP2
_chemical_formula_sum 'Cs12 Si4 P8'
_cell_length_a 6.3728
_cell_length_b 24.7860
_cell_length_c 10.2746
_cell_angle_alpha 90.00
_cell_angle_beta 90.00
_cell_angle_gamma 90.00
_symmetry_space_group_name_H-M 'I b a m'
_symmetry_Int_Tables_number 72
_symmetry_space_group_name_Hall '-I 2 2c'
loop_
_atom_site_label
_atom_site_type_symbol
_atom_site_fract_x
_atom_site_fract_y
_atom_site_fract_z
Cs1 Cs 0.0000 0.0000 0.2500
Cs2 Cs 0.0000 0.3430 0.2500
Si1 Si 0.0000 0.5000 0.0000
P1 P 0.1790 0.4308 0.0000
# Total moment   0.00 μB per cell
# Formation energy without anion corrections   -0.164 eV/atom

***

(15)
# PBE-GGA Ho5MgTl8, relaxed
data_Ho5MgTl8
_chemical_formula_sum 'Ho10 Mg2 Tl16'
_cell_length_a 9.2799
_cell_length_b 9.2799
_cell_length_c 9.0360
_cell_angle_alpha 90.00
_cell_angle_beta 90.00
_cell_angle_gamma 90.00
_symmetry_space_group_name_H-M 'I -4'
_symmetry_Int_Tables_number 82
_symmetry_space_group_name_Hall 'I -4'
loop_
_atom_site_label
_atom_site_type_symbol
_atom_site_fract_x
_atom_site_fract_y
_atom_site_fract_z
Ho1 Ho 0.0000 0.0000 0.0000
Ho2 Ho 0.1174 0.2692 0.3594
Mg1 Mg 0.0000 0.5000 0.7500
Tl1 Tl 0.0700 0.1714 0.6962
Tl2 Tl 0.0891 0.3279 0.0195
# DFT formation energy   -0.17 eV/atom
# Total moment   0.00 μB per cell

***

(16)
# PBE-GGA CoTePt4, relaxed
data_CoTePt4
_chemical_formula_sum 'Co4 Te4 Pt16'
_cell_length_a 7.5168
_cell_length_b 7.5168
_cell_length_c 7.5168
_cell_angle_alpha 90.00
_cell_angle_beta 90.00
_cell_angle_gamma 90.00
_symmetry_space_group_name_H-M 'F -4 3 m'
_symmetry_Int_Tables_number 216
_symmetry_space_group_name_Hall 'F -4 2 3'
loop_
_atom_site_label
_atom_site_type_symbol
_atom_site_fract_x
_atom_site_fract_y
_atom_site_fract_z
Co1 Co 0.0000 0.0000 0.0000
Te1 Te 0.2500 0.2500 0.7500
Pt1 Pt 0.1254 0.1254 0.3746
# Total moment   9.65 μB per cell
# Formation energy without anion corrections   0.320 eV/atom

***

(17)
# PBE-GGA Li2Ca8Ag, relaxed
data_Li2Ca8Ag
_chemical_formula_sum 'Li4 Ca16 Ag2'
_cell_length_a 19.2463
_cell_length_b 5.6188
_cell_length_c 7.4833
_cell_angle_alpha 90.00
_cell_angle_beta 107.79
_cell_angle_gamma 90.00
_symmetry_space_group_name_H-M 'C 1 2/m 1'
_symmetry_Int_Tables_number 12
_symmetry_space_group_name_Hall '-C 2y'
loop_
_atom_site_label
_atom_site_type_symbol
_atom_site_fract_x
_atom_site_fract_y
_atom_site_fract_z
Li1 Li 0.1821 0.0000 0.2140
Ca1 Ca 0.0228 0.0000 0.2839
Ca2 Ca 0.0925 0.5000 0.9352
Ca3 Ca 0.1570 0.5000 0.4645
Ca4 Ca 0.2018 0.0000 0.8013
Ag1 Ag 0.0000 0.5000 0.5000
# DFT formation energy   -0.02 eV/atom
# Total moment   0.00 μB per cell

***

(18)
# PBE-GGA EuErInPb, relaxed
data_EuErInPb
_chemical_formula_sum 'Eu4 Er4 In4 Pb4'
_cell_length_a 7.7353
_cell_length_b 7.7353
_cell_length_c 7.7353
_cell_angle_alpha 90.00
_cell_angle_beta 90.00
_cell_angle_gamma 90.00
_symmetry_space_group_name_H-M 'F -4 3 m'
_symmetry_Int_Tables_number 216
_symmetry_space_group_name_Hall 'F -4 2 3'
loop_
_atom_site_label
_atom_site_type_symbol
_atom_site_fract_x
_atom_site_fract_y
_atom_site_fract_z
Eu1 Eu 0.0000 0.0000 0.0000
Er1 Er 0.0000 0.0000 0.5000
In1 In 0.2500 0.2500 0.2500
Pb1 Pb 0.2500 0.2500 0.7500
# DFT formation energy   -0.42 eV/atom
# Total moment   28.65 μB per cell

***

(19)
# PBE-GGA KLiPbO3, relaxed
data_KLiPbO3
_chemical_formula_sum 'K2 Li2 Pb2 O6'
_cell_length_a 7.5547
_cell_length_b 3.4564
_cell_length_c 7.6326
_cell_angle_alpha 90.00
_cell_angle_beta 107.81
_cell_angle_gamma 90.00
_symmetry_space_group_name_H-M 'P 1 21/m 1'
_symmetry_Int_Tables_number 11
_symmetry_space_group_name_Hall '-P 2yb'
loop_
_atom_site_label
_atom_site_type_symbol
_atom_site_fract_x
_atom_site_fract_y
_atom_site_fract_z
K1 K 0.2481 0.2500 0.2882
Li1 Li 0.0924 0.7500 0.5790
Pb1 Pb 0.3419 0.2500 0.8226
O1 O 0.0491 0.2500 0.6804
O2 O 0.3503 0.7500 0.0304
O3 O 0.3667 0.7500 0.6457
# Total moment   0.00 μB per cell
# Formation energy without anion corrections   -1.343 eV/atom

***

(20)
# PBE-GGA MgAgBi, relaxed
data_MgAgBi
_chemical_formula_sum 'Mg2 Ag2 Bi2'
_cell_length_a 3.9597
_cell_length_b 3.9597
_cell_length_c 9.1680
_cell_angle_alpha 90.00
_cell_angle_beta 90.00
_cell_angle_gamma 90.00
_symmetry_space_group_name_H-M 'I 4 m m'
_symmetry_Int_Tables_number 107
_symmetry_space_group_name_Hall 'I 4 -2'
loop_
_atom_site_label
_atom_site_type_symbol
_atom_site_fract_x
_atom_site_fract_y
_atom_site_fract_z
Mg1 Mg 0.0000 0.0000 0.0000
Ag1 Ag 0.0000 0.0000 0.3320
Bi1 Bi 0.0000 0.0000 0.6682
# DFT formation energy   -0.03 eV/atom
# Total moment   0.00 μB per cell